1.
A plane-wave DFT calculation with GGA-PBE was carried out for a relaxed ZrIrI2N crystal.

Cell lengths 5.688, 5.688, 3.684 Å; angles 90.00, 90.00, 90.00 degrees
Each line ends with the local moment (μB).
Fractional positions:
Zr 0.500 0.500 0.500  1.17
I 0.000 0.500 0.000  -0.03
I 0.500 0.000 0.000  -0.03
Ir 0.000 0.000 0.000  0.04
N 0.000 0.000 0.500  0.00

energy: -5.272 eV/atom
excess energy over the best structure of this formula in the dataset: 0.00 eV per formula unit
total moment: 1.8 μB per formula unit
E_form (uncorrected): 0.495 eV per atom

=====

2.
A plane-wave DFT calculation with GGA-PBE was carried out for a relaxed CsNa2I2 crystal.

Cell lengths 9.924, 9.924, 4.575 Å; angles 90.00, 90.00, 90.00 degrees
Fractional positions:
I 0.648 0.148 0.000
I 0.852 0.648 0.000
I 0.148 0.352 0.000
I 0.352 0.852 0.000
Cs 0.000 0.000 0.000
Cs 0.500 0.500 0.000
Na 0.125 0.625 0.500
Na 0.625 0.875 0.500
Na 0.375 0.125 0.500
Na 0.875 0.375 0.500

energy: -2.156 eV/atom
excess energy over the best structure of this formula in the dataset: 0.64 eV per formula unit
total moment: 0.0 μB per formula unit
E_form (uncorrected): -0.838 eV per atom

=====

- What is the E_form (uncorrected) in the first record?
  0.495 eV per atom

=====

- The highest excess energy over the best structure of this formula in the dataset belongs to which entry?
  CsNa2I2